# 1
A relaxed RbTl3Ge crystal, computed with PBE.

a b c (Å): 6.206 6.206 6.206
angles (deg): 90.00 90.00 90.00
Space group Pm-3m (No. 221)
One atom of each set of equivalent atoms:
Rb1 0.000 0.000 0.000 (multiplicity 1)
Tl1 0.000 0.000 0.500 (multiplicity 3)
Ge1 0.500 0.500 0.500 (multiplicity 1)

Values from the calculation:
As for the energy of formation from the pure elements: 1.022 eV per atom. Its excess energy over the best structure of this formula in the dataset is 1025 meV/atom.



# 2
A relaxed MnCo2Sb crystal, computed with PBE.

a b c (Å): 3.0398 3.0398 22.8667
angles (deg): 90.00 90.00 120.00
Space group R3m (No. 160, hexagonal axes)
One atom of each set of equivalent atoms:
Mn1 0.0000 0.0000 0.0000 (multiplicity 3)
Co1 0.0000 0.0000 0.2568 (multiplicity 3)
Co2 0.0000 0.0000 0.5156 (multiplicity 3)
Sb1 0.0000 0.0000 0.7633 (multiplicity 3)

Values from the calculation:
The value obtained for the uncorrected formation energy is 44 kJ per mole of atoms.



# 3
A relaxed BaTl2Te crystal, computed with PBE.

a b c (Å): 5.054 4.568 7.084
angles (deg): 90.00 110.78 90.00
Space group Pm (No. 6)
One atom of each set of equivalent atoms:
Ba1 0.000 0.000 0.000 (multiplicity 1)
Tl1 0.273 0.000 0.535 (multiplicity 1)
Tl2 0.724 0.500 0.437 (multiplicity 1)
Te1 0.466 0.500 0.933 (multiplicity 1)

Values from the calculation:
The value obtained for the uncorrected formation energy is -63 kJ per mole of atoms. Its excess energy over the best structure of this formula in the dataset is 0 meV/atom.



# 4
A relaxed KLiAgBi crystal, computed with PBE.

a b c (Å): 7.411 7.411 7.411
angles (deg): 90.00 90.00 90.00
Space group F-43m (No. 216)
One atom of each set of equivalent atoms:
K1 0.000 0.000 0.000 (multiplicity 4)
Li1 0.250 0.250 0.750 (multiplicity 4)
Ag1 0.250 0.250 0.250 (multiplicity 4)
Bi1 0.000 0.000 0.500 (multiplicity 4)

Values from the calculation:
As for the energy of formation from the pure elements: -0.210 eV per atom.



# 5
A relaxed K2HoReO6 crystal, computed with PBE.

a b c (Å): 8.318 8.318 8.318
angles (deg): 90.00 90.00 90.00
Space group Fm-3m (No. 225)
One atom of each set of equivalent atoms:
K1 0.250 0.250 0.250 (multiplicity 8)
Ho1 0.000 0.000 0.000 (multiplicity 4)
Re1 0.000 0.000 0.500 (multiplicity 4)
O1 0.000 0.000 0.271 (multiplicity 24)

Values from the calculation:
The value obtained for the uncorrected formation energy is -216 kJ per mole of atoms.



# 6
A relaxed NdAl2Ag crystal, computed with PBE.

a b c (Å): 4.435 4.435 4.409
angles (deg): 90.00 90.00 90.00
Space group P4/mmm (No. 123)
One atom of each set of equivalent atoms:
Nd1 0.000 0.000 0.000 (multiplicity 1)
Al1 0.000 0.500 0.500 (multiplicity 2)
Ag1 0.500 0.500 0.000 (multiplicity 1)

Values from the calculation:
As for the energy of formation from the pure elements: -0.232 eV per atom. Its excess energy over the best structure of this formula in the dataset is 156 meV/atom.



# 7
A relaxed TiSn2Au crystal, computed with PBE.

a b c (Å): 3.2581 3.2581 30.1192
angles (deg): 90.00 90.00 120.00
Space group R-3m (No. 166, hexagonal axes)
One atom of each set of equivalent atoms:
Ti1 0.0000 0.0000 0.0000 (multiplicity 3)
Sn1 0.0000 0.0000 0.0924 (multiplicity 6)
Au1 0.0000 0.0000 0.5000 (multiplicity 3)

Values from the calculation:
As for the energy of formation from the pure elements: 0.251 eV per atom. Its excess energy over the best structure of this formula in the dataset is 402 meV/atom.



# 8
A relaxed La2PmAs crystal, computed with PBE.

a b c (Å): 4.0637 4.0637 29.0636
angles (deg): 90.00 90.00 120.00
Space group R3m (No. 160, hexagonal axes)
One atom of each set of equivalent atoms:
La1 0.0000 0.0000 0.0000 (multiplicity 3)
La2 0.0000 0.0000 0.2064 (multiplicity 3)
Pm1 0.0000 0.0000 0.7700 (multiplicity 3)
As1 0.0000 0.0000 0.6032 (multiplicity 3)

Values from the calculation:
As for the energy of formation from the pure elements: -0.619 eV per atom. Its excess energy over the best structure of this formula in the dataset is 0 meV/atom.



| no. | E (eV/atom) |
| --- | --- |
| 1 | -1.514 |
| 2 | -6.416 |
| 3 | -3.103 |
| 4 | -2.645 |
| 5 | -7.140 |
| 6 | -4.008 |
| 7 | -4.543 |
| 8 | -5.432 |